No. 1
Below is a relaxed MnSn2I crystal, with properties calculated at the PBE-GGA level.

Results
Electronic total energy ... -4.087 eV per atom

a = 5.5213 Å, b = 5.5213 Å, c = 5.5213 Å
α = 60.00°, β = 60.00°, γ = 60.00°
Last column: nearest neighbours and their distance in Å.
Element x y z (fractional)
Mn  0.0000  0.0000  0.0000  8 Sn 3.38
Sn  0.2500  0.2500  0.2500  4 I 3.38, 4 Mn 3.38
Sn  0.7500  0.7500  0.7500  4 I 3.38, 4 Mn 3.38
I  0.5000  0.5000  0.5000  8 Sn 3.38



No. 2
Below is a relaxed Mn3SnI9 crystal, with properties calculated at the PBE-GGA level.

Results
Electronic total energy ... -3.863 eV per atom

a = 11.4607 Å, b = 11.4607 Å, c = 14.6324 Å
α = 123.95°, β = 123.95°, γ = 53.69°
Last column: nearest neighbours and their distance in Å.
Element x y z (fractional)
Mn  0.0670  0.9330  0.5000  4 I 2.66-2.73
Mn  0.2947  0.4463  0.5461  4 I 2.65-2.71
Mn  0.4463  0.2947  0.0461  4 I 2.65-2.71
Mn  0.4749  0.7108  0.3887  4 I 2.65-2.70
Mn  0.7108  0.4749  0.8887  4 I 2.65-2.70
Mn  0.9330  0.0670  0.0000  4 I 2.66-2.73
Sn  0.5076  0.9542  0.2139  6 I 3.08-3.19
Sn  0.9542  0.5076  0.7139  6 I 3.08-3.19
I  0.0545  0.4275  0.5160  1 Mn 2.66
I  0.1999  0.9542  0.1574  1 Mn 2.67
I  0.2323  0.7483  0.6311  2 Mn 2.70-2.73
I  0.2694  0.9725  0.4897  2 Mn 2.70-2.71
I  0.3009  0.5609  0.1932  2 Mn 2.70-2.71
I  0.3107  0.3540  0.8507  1 Mn 2.65
I  0.3540  0.3107  0.3507  1 Mn 2.65
I  0.4275  0.0545  0.0160  1 Mn 2.66
I  0.5306  0.6413  0.0157  1 Mn 2.65
I  0.5609  0.3009  0.6932  2 Mn 2.70-2.71
I  0.6413  0.5306  0.5157  1 Mn 2.65
I  0.6439  0.8041  0.3953  1 Mn 2.65
I  0.7483  0.2323  0.1311  2 Mn 2.70-2.73
I  0.8041  0.6439  0.8953  1 Mn 2.65
I  0.8596  0.8763  0.2871  1 Mn 2.66
I  0.8763  0.8596  0.7871  1 Mn 2.66
I  0.9542  0.1999  0.6574  1 Mn 2.67
I  0.9725  0.2694  0.9897  2 Mn 2.70-2.71



Which of these has the highest electronic total energy?
Mn3SnI9



Which value of electronic total energy does entry 2 give?
-3.863 eV per atom



What is the electronic total energy in the first record?
-4.087 eV per atom